No. 1
Computed, not measured: crystalline Ba6Pd2I3N at its relaxed geometry at the PBE level of DFT.

Computed properties:
- Total moment: 0.0 Bohr magnetons per cell
- Volume: 38.40 A^3/atom
- Final energy: -46.59 eV for the cell shown
- Crystal system: monoclinic

Cell: 7.9136 7.9136 8.8934 Å, 98.53 98.53 119.98°
Last column: nearest neighbours and their distance in Å.
Element x y z (fractional)
Ba  0.0640  0.3621  0.1890  1 N 2.86
Ba  0.2342  0.2342  0.8074  1 N 2.87
Ba  0.3621  0.0640  0.1890  1 N 2.86
Ba  0.6379  0.9360  0.8110  1 N 2.86
Ba  0.7658  0.7658  0.1926  1 N 2.87
Ba  0.9360  0.6379  0.8110  1 N 2.86
Pd  0.3341  0.6659  0.0000  6 Ba 3.21-3.23
Pd  0.6659  0.3341  0.0000  6 Ba 3.21-3.23
I  0.1721  0.8279  0.5000  6 Ba 3.66-3.89
I  0.5000  0.5000  0.5000  6 Ba 3.64-3.91
I  0.8279  0.1721  0.5000  6 Ba 3.66-3.89
N  0.0000  0.0000  0.0000  6 Ba 2.86-2.87

***

No. 2
Computed, not measured: crystalline Ba2MgCdCu at its relaxed geometry at the PBE level of DFT.

Computed properties:
- Total moment: 0.0 Bohr magnetons per cell
- Volume: 38.21 A^3/atom
- Final energy: -10.65 eV for the cell shown
- Calculated formation energy: -0.04 eV per atom
- Crystal system: tetragonal

Cell: 6.1698 6.1698 5.0188 Å, 90.00 90.00 90.00°
Last column: nearest neighbours and their distance in Å.
Element x y z (fractional)
Ba  0.0000  0.5000  0.0000  2 Cu 3.08
Ba  0.5000  0.0000  0.0000  2 Cu 3.08
Mg  0.0000  0.0000  0.5000  2 Cu 2.51
Cd  0.5000  0.5000  0.5000  8 Ba 3.98, 4 Mg 4.36
Cu  0.0000  0.0000  0.0000  2 Mg 2.51

***

No. 3
Computed, not measured: crystalline YFe2Ir at its relaxed geometry at the PBE level of DFT.

Computed properties:
- Total moment: 5.5 Bohr magnetons per cell
- Volume: 16.33 A^3/atom
- Final energy: -32.14 eV for the cell shown
- Calculated formation energy: 0.03 eV per atom
- Crystal system: cubic

Cell: 4.5203 4.5203 4.5203 Å, 60.00 60.00 60.00°
Last column: nearest neighbours and their distance in Å.
Element x y z (fractional)
Y  0.0000  0.0000  0.0000  4 Fe 2.77, 4 Ir 2.77
Fe  0.5000  0.5000  0.5000  4 Fe 2.77, 4 Ir 2.77
Fe  0.7500  0.7500  0.7500  4 Y 2.77, 4 Fe 2.77
Ir  0.2500  0.2500  0.2500  4 Fe 2.77, 4 Y 2.77

***

No. 4
Computed, not measured: crystalline SrMnCu2 at its relaxed geometry at the PBE level of DFT.

Computed properties:
- Total moment: 3.8 Bohr magnetons per cell
- Volume: 19.22 A^3/atom
- Final energy: -17.34 eV for the cell shown
- Calculated formation energy: 0.43 eV per atom
- Crystal system: orthorhombic

Cell: 4.7733 4.7733 3.3747 Å, 90.00 90.00 90.11°
Last column: nearest neighbours and their distance in Å.
Element x y z (fractional)
Sr  0.0000  0.0000  0.0000  8 Cu 2.92
Mn  0.5000  0.5000  0.0000  8 Cu 2.92
Cu  0.0000  0.5000  0.5000  4 Mn 2.92, 4 Sr 2.92
Cu  0.5000  0.0000  0.5000  4 Mn 2.92, 4 Sr 2.92

***

No. 5
Computed, not measured: crystalline Ac6LaIn3 at its relaxed geometry at the PBE level of DFT.

Computed properties:
- Total moment: 0.0 Bohr magnetons per cell
- Volume: 38.05 A^3/atom
- Final energy: -80.02 eV for the cell shown
- Calculated formation energy: -0.22 eV per atom
- Crystal system: monoclinic

Cell: 10.9062 5.7313 12.3898 Å, 90.00 100.67 90.00°
Last column: nearest neighbours and their distance in Å.
Element x y z (fractional)
Ac  0.0423  0.2500  0.4045  7 In 3.51-3.88
Ac  0.1313  0.7500  0.1856  5 In 3.46-3.60, 2 Ac 3.85
Ac  0.2196  0.2500  0.9767  4 In 3.48-3.53, 1 Ac 3.74, 1 La 3.80
Ac  0.3106  0.7500  0.7797  4 In 3.47-3.77, 1 Ac 3.75
Ac  0.3631  0.2500  0.2752  8 Ac 3.74-4.11, 2 La 3.90, 2 In 4.05
Ac  0.4169  0.2500  0.5895  4 In 3.51-3.75, 3 Ac 3.83-3.91, 1 La 3.92
Ac  0.5831  0.7500  0.4105  4 In 3.51-3.75, 3 Ac 3.83-3.91, 1 La 3.92
Ac  0.6369  0.7500  0.7248  8 Ac 3.74-4.11, 2 La 3.90, 2 In 4.05
Ac  0.6894  0.2500  0.2203  4 In 3.47-3.77, 1 Ac 3.75
Ac  0.7804  0.7500  0.0233  4 In 3.48-3.53, 1 Ac 3.74, 1 La 3.80
Ac  0.8687  0.2500  0.8144  5 In 3.46-3.60, 2 Ac 3.85
Ac  0.9577  0.7500  0.5955  7 In 3.51-3.88
La  0.4553  0.7500  0.0928  10 Ac 3.80-3.97, 2 La 3.91
La  0.5447  0.2500  0.9072  10 Ac 3.80-3.97, 2 La 3.91
In  0.0407  0.7500  0.8907  8 Ac 3.46-3.60
In  0.1374  0.2500  0.6912  8 Ac 3.48-3.55
In  0.2579  0.7500  0.4699  8 Ac 3.53-3.88
In  0.7421  0.2500  0.5301  8 Ac 3.53-3.88
In  0.8626  0.7500  0.3088  8 Ac 3.48-3.55
In  0.9593  0.2500  0.1093  8 Ac 3.46-3.60

***

No. 6
Computed, not measured: crystalline Sm2ZnGe at its relaxed geometry at the PBE level of DFT.

Computed properties:
- Total moment: 0.0 Bohr magnetons per cell
- Volume: 23.86 A^3/atom
- Final energy: -17.46 eV for the cell shown
- Calculated formation energy: -0.53 eV per atom
- Crystal system: tetragonal

Cell: 5.0033 5.0033 3.8119 Å, 90.00 90.00 90.00°
Last column: nearest neighbours and their distance in Å.
Element x y z (fractional)
Sm  0.0000  0.5000  0.0000  4 Ge 3.14, 4 Zn 3.14
Sm  0.5000  0.0000  0.0000  4 Ge 3.14, 4 Zn 3.14
Zn  0.0000  0.0000  0.5000  8 Sm 3.14
Ge  0.5000  0.5000  0.5000  8 Sm 3.14

***

No. 7
Computed, not measured: crystalline Ho4BiPd2 at its relaxed geometry at the PBE level of DFT.

Computed properties:
- Total moment: 0.0 Bohr magnetons per cell
- Volume: 27.70 A^3/atom
- Final energy: -36.95 eV for the cell shown
- Calculated formation energy: -0.62 eV per atom
- Crystal system: trigonal

Cell: 11.0941 11.0941 11.0941 Å, 23.71 23.71 23.71°
Last column: nearest neighbours and their distance in Å.
Element x y z (fractional)
Ho  0.1101  0.1101  0.1101  3 Pd 3.02, 3 Bi 3.21
Ho  0.3009  0.3009  0.3009  4 Pd 2.83-3.13
Ho  0.6991  0.6991  0.6991  4 Pd 2.83-3.13
Ho  0.8899  0.8899  0.8899  3 Pd 3.02, 3 Bi 3.21
Bi  0.5000  0.5000  0.5000  6 Ho 3.21, 2 Pd 3.31
Pd  0.3977  0.3977  0.3977  7 Ho 2.83-3.13
Pd  0.6023  0.6023  0.6023  7 Ho 2.83-3.13

***

No. 8
Computed, not measured: crystalline KYHgCl6 at its relaxed geometry at the PBE level of DFT.

Computed properties:
- Total moment: 0.0 Bohr magnetons per cell
- Volume: 32.55 A^3/atom
- Final energy: -67.73 eV for the cell shown
- Crystal system: trigonal

Cell: 6.9969 6.9969 13.8202 Å, 90.00 90.00 120.00°
Last column: nearest neighbours and their distance in Å.
Element x y z (fractional)
K  0.0000  0.0000  0.0000  6 Cl 3.23
K  0.0000  0.0000  0.5000  6 Cl 3.23
Y  0.3333  0.6667  0.2500  6 Cl 2.67
Y  0.6667  0.3333  0.7500  6 Cl 2.67
Hg  0.3333  0.6667  0.7500  6 Cl 2.73
Hg  0.6667  0.3333  0.2500  6 Cl 2.73
Cl  0.0066  0.3739  0.1387  1 Y 2.67, 1 Hg 2.73
Cl  0.0066  0.6326  0.3613  1 Y 2.67, 1 Hg 2.73
Cl  0.3674  0.3739  0.3613  1 Y 2.67, 1 Hg 2.73
Cl  0.3674  0.9934  0.1387  1 Y 2.67, 1 Hg 2.73
Cl  0.3739  0.0066  0.6387  1 Y 2.67, 1 Hg 2.73
Cl  0.3739  0.3674  0.8613  1 Y 2.67, 1 Hg 2.73
Cl  0.6261  0.6326  0.1387  1 Y 2.67, 1 Hg 2.73
Cl  0.6261  0.9934  0.3613  1 Y 2.67, 1 Hg 2.73
Cl  0.6326  0.0066  0.8613  1 Y 2.67, 1 Hg 2.73
Cl  0.6326  0.6261  0.6387  1 Y 2.67, 1 Hg 2.73
Cl  0.9934  0.3674  0.6387  1 Y 2.67, 1 Hg 2.73
Cl  0.9934  0.6261  0.8613  1 Y 2.67, 1 Hg 2.73

***

No. 9
Computed, not measured: crystalline Hf8Co2Au at its relaxed geometry at the PBE level of DFT.

Computed properties:
- Total moment: 0.0 Bohr magnetons per cell
- Volume: 20.19 A^3/atom
- Final energy: -98.49 eV for the cell shown
- Calculated formation energy: -0.13 eV per atom
- Crystal system: monoclinic

Cell: 7.2024 7.2024 5.0460 Å, 99.25 99.25 116.91°
Last column: nearest neighbours and their distance in Å.
Element x y z (fractional)
Hf  0.0892  0.3348  0.5620  2 Co 2.52-2.57
Hf  0.2446  0.7554  0.0000  2 Co 2.59
Hf  0.3348  0.0892  0.5620  2 Co 2.52-2.57
Hf  0.3982  0.3982  0.1858  4 Hf 2.76-3.08, 1 Au 2.86, 2 Co 2.99
Hf  0.6018  0.6018  0.8142  4 Hf 2.76-3.08, 1 Au 2.86, 2 Co 2.99
Hf  0.6652  0.9108  0.4380  2 Co 2.52-2.57
Hf  0.7554  0.2446  0.0000  2 Co 2.59
Hf  0.9108  0.6652  0.4380  2 Co 2.52-2.57
Co  0.2914  0.7086  0.5000  6 Hf 2.52-2.59
Co  0.7086  0.2914  0.5000  6 Hf 2.52-2.59
Au  0.0000  0.0000  0.0000  8 Hf 2.86-3.18

***

No. 10
Computed, not measured: crystalline CdTeAu2 at its relaxed geometry at the PBE level of DFT.

Computed properties:
- Total moment: 0.0 Bohr magnetons per cell
- Volume: 21.54 A^3/atom
- Final energy: -10.32 eV for the cell shown
- Crystal system: tetragonal

Cell: 5.3646 5.3646 5.3646 Å, 130.94 130.94 71.92°
Last column: nearest neighbours and their distance in Å.
Element x y z (fractional)
Cd  0.0000  0.0000  0.0000  8 Au 3.11, 4 Te 3.15
Te  0.5000  0.5000  0.0000  8 Au 3.11, 4 Cd 3.15
Au  0.2500  0.7500  0.5000  4 Cd 3.11, 4 Te 3.11, 4 Au 3.15
Au  0.7500  0.2500  0.5000  4 Cd 3.11, 4 Te 3.11, 4 Au 3.15

***

No. 11
Computed, not measured: crystalline Tl2GaNiRh at its relaxed geometry at the PBE level of DFT.

Computed properties:
- Total moment: 0.9 Bohr magnetons per cell
- Volume: 25.88 A^3/atom
- Final energy: -16.11 eV for the cell shown
- Calculated formation energy: 0.96 eV per atom
- Crystal system: tetragonal

Cell: 5.2946 5.2946 4.6164 Å, 90.00 90.00 90.00°
Last column: nearest neighbours and their distance in Å.
Element x y z (fractional)
Tl  0.0000  0.5000  0.0000  2 Ga 2.65
Tl  0.5000  0.0000  0.0000  2 Ga 2.65
Ga  0.0000  0.0000  0.0000  2 Rh 2.31
Ni  0.5000  0.5000  0.5000  8 Tl 3.51, 4 Rh 3.74
Rh  0.0000  0.0000  0.5000  2 Ga 2.31

***

No. 12
Computed, not measured: crystalline LaGa3O at its relaxed geometry at the PBE level of DFT.

Computed properties:
- Total moment: 0.0 Bohr magnetons per cell
- Volume: 39.21 A^3/atom
- Final energy: -13.02 eV for the cell shown
- Crystal system: cubic

Cell: 5.8091 5.8091 5.8091 Å, 90.00 90.00 90.00°
Last column: nearest neighbours and their distance in Å.
Element x y z (fractional)
La  0.0000  0.0000  0.0000  6 Ga 2.90
Ga  0.0000  0.0000  0.5000  2 La 2.90
Ga  0.0000  0.5000  0.0000  2 La 2.90
Ga  0.5000  0.0000  0.0000  2 La 2.90
O  0.5000  0.5000  0.5000  12 Ga 4.11

***

> volume of number 2 (Ba2MgCdCu)?

38.21 A^3/atom

***

> Which value of volume does entry 1 give?

38.40 A^3/atom